Material: URh4Se8
Method: DFT, GGA-PBE
State: relaxed

Cell and atoms, written as POSCAR:
```
URh4Se8
1.0
3.814 2.202 5.662
-3.814 2.202 5.662
0.000 -4.404 5.662
U Rh Se
1 4 8
Direct
0.000 0.000 0.000 U
0.000 0.000 0.500 Rh
0.000 0.500 0.000 Rh
0.500 0.000 0.000 Rh
0.500 0.500 0.500 Rh
0.243 0.243 0.243 Se
0.243 0.737 0.737 Se
0.263 0.263 0.757 Se
0.263 0.757 0.263 Se
0.737 0.243 0.737 Se
0.737 0.737 0.243 Se
0.757 0.263 0.263 Se
0.757 0.757 0.757 Se
```

Calculated values
Its density of states at the Fermi level is 0.631 states/eV/atom. The formation energy without anion corrections is -555.5 meV per atom. Its calculated volume is 285.34 Å³ per cell. Its raw total energy is -5.830 eV per atom.